No. 1
## MnRu5 (meta-GGA SCAN)

Data for a crystal of MnRu5 relaxed with PBEsol.

Geometry as CIF:
```
data_MnRu5
_chemical_formula_sum 'Mn1 Ru5'
_cell_length_a 4.6085
_cell_length_b 4.6085
_cell_length_c 4.1811
_cell_angle_alpha 90.00
_cell_angle_beta 90.00
_cell_angle_gamma 120.00
_space_group_name_H-M_alt 'P -6 2 m'
_space_group_IT_number 189
_space_group_name_Hall 'P -6 -2'
loop_
_atom_site_label
_atom_site_type_symbol
_atom_site_fract_x
_atom_site_fract_y
_atom_site_fract_z
Mn1 Mn 0.0000 0.0000 0.0000
Ru1 Ru 0.0000 0.6735 0.5000
Ru2 Ru 0.3333 0.6667 0.0000
```

E_tot   -32.081 eV/atom
Crystal system   hexagonal
Size of the total moment   1.04 Bohr magnetons per cell
Formation energy   -17 meV per atom



No. 2
## InCu2Os (meta-GGA SCAN)

Data for a crystal of InCu2Os relaxed with PBEsol.

Geometry as CIF:
```
data_InCu2Os
_chemical_formula_sum 'In1 Cu2 Os1'
_cell_length_a 2.941
_cell_length_b 2.941
_cell_length_c 6.513
_cell_angle_alpha 90.00
_cell_angle_beta 90.00
_cell_angle_gamma 90.00
_space_group_name_H-M_alt 'P 4 m m'
_space_group_IT_number 99
_space_group_name_Hall 'P 4 -2'
loop_
_atom_site_label
_atom_site_type_symbol
_atom_site_fract_x
_atom_site_fract_y
_atom_site_fract_z
In1 In 0.000 0.000 0.000
Cu1 Cu 0.000 0.000 0.521
Cu2 Cu 0.500 0.500 0.722
Os1 Os 0.500 0.500 0.291
```

E_tot   -33.545 eV/atom
Crystal system   tetragonal
Size of the total moment   0.00 Bohr magnetons per cell
Formation energy   371 meV per atom



No. 3
## Fe4Rh3 (meta-GGA SCAN)

Data for a crystal of Fe4Rh3 relaxed with PBEsol.

Geometry as CIF:
```
data_Fe4Rh3
_chemical_formula_sum 'Fe8 Rh6'
_cell_length_a 2.842
_cell_length_b 2.842
_cell_length_c 21.453
_cell_angle_alpha 90.00
_cell_angle_beta 90.00
_cell_angle_gamma 90.00
_space_group_name_H-M_alt 'I 4/m m m'
_space_group_IT_number 139
_space_group_name_Hall '-I 4 2'
loop_
_atom_site_label
_atom_site_type_symbol
_atom_site_fract_x
_atom_site_fract_y
_atom_site_fract_z
Fe1 Fe 0.000 0.000 0.073
Fe2 Fe 0.000 0.000 0.364
Rh1 Rh 0.000 0.000 0.207
Rh2 Rh 0.000 0.000 0.500
```

E_tot   -24.987 eV/atom
Crystal system   tetragonal
Size of the total moment   29.39 Bohr magnetons per cell
Formation energy   -154 meV per atom



No. 4
## RbFeTe2 (meta-GGA SCAN)

Data for a crystal of RbFeTe2 relaxed with PBEsol.

Geometry as CIF:
```
data_RbFeTe2
_chemical_formula_sum 'Rb4 Fe4 Te8'
_cell_length_a 7.510
_cell_length_b 7.510
_cell_length_c 7.510
_cell_angle_alpha 90.00
_cell_angle_beta 90.00
_cell_angle_gamma 90.00
_space_group_name_H-M_alt 'F m -3 m'
_space_group_IT_number 225
_space_group_name_Hall '-F 4 2 3'
loop_
_atom_site_label
_atom_site_type_symbol
_atom_site_fract_x
_atom_site_fract_y
_atom_site_fract_z
Rb1 Rb 0.000 0.000 0.000
Fe1 Fe 0.000 0.000 0.500
Te1 Te 0.250 0.250 0.250
```

E_tot   -28.074 eV/atom
Crystal system   cubic
Formation energy from raw total energies   0.27 eV/atom
Size of the total moment   9.81 Bohr magnetons per cell